13
Lattice="-3.6992 2.5115 -3.1718 0.2563 -0.5236 -5.4509 -7.0918 -7.4604 -2.3735" Properties=species:S:1:pos:R:3 comment="Dy3Sn2Pd8 (PBE-GGA, relaxed)" energy_ev_per_cell=-71.17 ef_ev_per_atom=-0.601 pbc="T T T"
Dy 0.0000 0.0000 0.0000
Dy -6.8683 -2.6931 -8.3341
Dy -3.6664 -2.7794 -2.6620
Sn -2.9451 0.4373 -5.6937
Sn -7.5897 -5.9098 -5.3024
Pd -8.5156 -4.9443 -8.1953
Pd -2.0191 -0.5283 -2.8008
Pd -2.8816 -2.1974 -5.4376
Pd -4.8991 -0.6494 -4.2752
Pd -4.7683 -0.9165 -7.0554
Pd -5.6357 -4.8231 -6.7209
Pd -7.6531 -3.2751 -5.5585
Pd -5.7664 -4.5560 -3.9408